ZrCd: relaxed, GGA-PBE.

Results
Electronic total energy, eV/f.u.: -8.5

Cell: 5.824 5.824 5.824 Å, 90.00 90.00 90.00°
Space group Fm-3m (No. 225)
Unique sites:
Zr 0.000 0.000 0.000
Cd 0.000 0.000 0.500